#w
Material: TbSm3Er5
Method: DFT, PBE
State: optimized geometry

Unit cell a=6.6601 b=8.8323 c=11.3304 alpha=107.47 beta=90.00 gamma=112.15
Last column: nearest neighbours and their distance in Å.
Atoms (fractional coordinates):
Er  0.2307  0.0000  0.7500  1 Tb 3.00, 2 Sm 3.22
Er  0.3867  0.7851  0.4553  5 Er 3.33-3.68, 3 Sm 3.46-3.69, 2 Tb 3.46-3.54
Er  0.6133  0.2149  0.5447  5 Er 3.33-3.68, 3 Sm 3.46-3.69, 2 Tb 3.46-3.54
Er  0.8600  0.4694  0.3548  4 Sm 3.33-3.53, 4 Er 3.48-3.57
Er  0.6094  0.4694  0.8548  4 Sm 3.33-3.53, 4 Er 3.48-3.57
Er  0.1400  0.5306  0.6452  4 Sm 3.33-3.53, 4 Er 3.48-3.57
Er  0.3906  0.5306  0.1452  4 Sm 3.33-3.53, 4 Er 3.48-3.57
Er  0.6015  0.2149  0.0447  5 Er 3.33-3.68, 3 Sm 3.46-3.69, 2 Tb 3.46-3.54
Er  0.7693  0.0000  0.2500  1 Tb 3.00, 2 Sm 3.22
Er  0.3985  0.7851  0.9553  5 Er 3.33-3.68, 3 Sm 3.46-3.69, 2 Tb 3.46-3.54
Sm  0.0000  0.0000  0.0000  2 Er 3.22, 2 Tb 3.54
Sm  0.2951  0.3515  0.3709  1 Tb 3.06, 2 Er 3.33-3.39
Sm  0.0564  0.3515  0.8709  1 Tb 3.06, 2 Er 3.33-3.39
Sm  0.7049  0.6485  0.6291  1 Tb 3.06, 2 Er 3.33-3.39
Sm  0.0000  0.0000  0.5000  2 Er 3.22, 2 Tb 3.54
Sm  0.9436  0.6485  0.1291  1 Tb 3.06, 2 Er 3.33-3.39
Tb  0.3182  0.0000  0.2500  1 Er 3.00, 2 Sm 3.06
Tb  0.6818  0.0000  0.7500  1 Er 3.00, 2 Sm 3.06

Values from the calculation:
As for the space group: C2/c (15). The theoretical density is 8.2 g/cm3. For the density of states at the Fermi level, the calculation gives 26.4 states/eV/cell.

***

#x
Material: TbSm3Er5
Method: DFT, PBE
State: optimized geometry

Unit cell a=9.4775 b=9.4775 c=11.5561 alpha=52.53 beta=52.53 gamma=72.99
Last column: nearest neighbours and their distance in Å.
Atoms (fractional coordinates):
Er  0.8446  0.3446  0.2488  3 Er 3.28-3.65, 2 Sm 3.48-3.56
Er  0.8138  0.8138  0.9635  3 Sm 3.17-3.30, 3 Er 3.28, 1 Tb 3.38
Er  0.7406  0.2594  0.0000  1 Sm 2.92
Er  0.3446  0.8446  0.2488  3 Er 3.28-3.65, 2 Sm 3.48-3.56
Er  0.5082  0.5082  0.7750  3 Sm 3.18-3.36, 3 Er 3.28-3.33, 1 Tb 3.42
Er  0.2594  0.7406  0.0000  1 Sm 2.92
Er  0.1862  0.1862  0.0365  3 Sm 3.17-3.30, 3 Er 3.28, 1 Tb 3.38
Er  0.1554  0.6554  0.7512  3 Er 3.28-3.65, 2 Sm 3.48-3.56
Er  0.6554  0.1554  0.7512  3 Er 3.28-3.65, 2 Sm 3.48-3.56
Er  0.4918  0.4918  0.2250  3 Sm 3.18-3.36, 3 Er 3.28-3.33, 1 Tb 3.42
Sm  0.3408  0.3408  0.6356  1 Tb 3.20, 2 Sm 3.22-3.41, 4 Er 3.24-3.56
Sm  0.2991  0.2991  0.1920  1 Sm 2.98, 3 Er 3.18-3.30
Sm  0.6592  0.6592  0.3644  1 Tb 3.20, 2 Sm 3.22-3.41, 4 Er 3.24-3.56
Sm  0.7009  0.7009  0.8080  1 Sm 2.98, 3 Er 3.18-3.30
Sm  0.0000  0.0000  0.0000  4 Er 2.92-3.17, 2 Tb 3.24
Sm  0.0000  0.0000  0.5000  2 Sm 2.98, 2 Tb 3.27
Tb  0.8487  0.8487  0.3994  4 Sm 3.20-3.36, 2 Er 3.38-3.42
Tb  0.1513  0.1513  0.6006  4 Sm 3.20-3.36, 2 Er 3.38-3.42

Values from the calculation:
As for the space group: C2/m (12). The theoretical density is 7.4 g/cm3. For the density of states at the Fermi level, the calculation gives 24.0 states/eV/cell.

***

Stability, highest: #w

***

#w
Material: Tb6SmEr3
Method: DFT, PBE
State: optimized geometry

Unit cell a=6.1786 b=10.9616 c=10.9616 alpha=119.76 beta=90.00 gamma=90.00
Last column: nearest neighbours and their distance in Å.
Atoms (fractional coordinates):
Tb  0.5352  0.6197  0.7099  4 Er 3.40-3.61, 5 Tb 3.42-3.76
Tb  0.1428  0.7188  0.2812  4 Tb 3.21-3.40, 1 Er 3.35, 2 Sm 3.41-3.42
Tb  0.9140  0.0455  0.9545  1 Sm 3.33, 4 Er 3.51-3.60, 2 Tb 3.54
Tb  0.0352  0.3803  0.2901  4 Er 3.40-3.61, 5 Tb 3.42-3.76
Tb  0.3639  0.0446  0.4643  5 Tb 3.21-3.45, 2 Er 3.27-3.56, 2 Sm 3.29-3.44
Tb  0.4140  0.9545  0.0455  1 Sm 3.33, 4 Er 3.51-3.60, 2 Tb 3.54
Tb  0.6428  0.2812  0.7188  4 Tb 3.21-3.40, 1 Er 3.35, 2 Sm 3.41-3.42
Tb  0.0352  0.7099  0.6197  4 Er 3.40-3.61, 5 Tb 3.42-3.76
Tb  0.3639  0.5357  0.9554  5 Tb 3.21-3.45, 2 Er 3.27-3.56, 2 Sm 3.29-3.44
Tb  0.8639  0.4643  0.0446  5 Tb 3.21-3.45, 2 Er 3.27-3.56, 2 Sm 3.29-3.44
Tb  0.8639  0.9554  0.5357  5 Tb 3.21-3.45, 2 Er 3.27-3.56, 2 Sm 3.29-3.44
Tb  0.5352  0.2901  0.3803  4 Er 3.40-3.61, 5 Tb 3.42-3.76
Er  0.4580  0.2810  0.0613  1 Sm 3.25, 6 Tb 3.27-3.60
Er  0.9580  0.7190  0.9387  1 Sm 3.25, 6 Tb 3.27-3.60
Er  0.9580  0.0613  0.2810  1 Sm 3.25, 6 Tb 3.27-3.60
Er  0.4580  0.9387  0.7190  1 Sm 3.25, 6 Tb 3.27-3.60
Er  0.5723  0.6113  0.3887  7 Tb 3.35-3.75, 1 Sm 3.52, 2 Er 3.69
Er  0.0723  0.3887  0.6113  7 Tb 3.35-3.75, 1 Sm 3.52, 2 Er 3.69
Sm  0.1419  0.2047  0.7953  3 Er 3.25-3.52, 7 Tb 3.29-3.44
Sm  0.6419  0.7953  0.2047  3 Er 3.25-3.52, 7 Tb 3.29-3.44

Values from the calculation:
As for the space group: Cmc2_1 (36). The theoretical density is 8.3 g/cm3. For the density of states at the Fermi level, the calculation gives 28.0 states/eV/cell.

***

#x
Material: Tb6SmEr3
Method: DFT, PBE
State: optimized geometry

Unit cell a=6.3695 b=11.5240 c=11.5240 alpha=130.62 beta=90.00 gamma=90.00
Last column: nearest neighbours and their distance in Å.
Atoms (fractional coordinates):
Er  0.9863  0.0429  0.2957  2 Er 3.26-3.39, 5 Tb 3.28-3.56, 1 Sm 3.52
Er  0.9863  0.7043  0.9571  2 Er 3.26-3.39, 5 Tb 3.28-3.56, 1 Sm 3.52
Er  0.0966  0.4186  0.5814  3 Tb 3.14-3.42, 2 Er 3.39
Er  0.4863  0.2957  0.0429  2 Er 3.26-3.39, 5 Tb 3.28-3.56, 1 Sm 3.52
Er  0.5966  0.5814  0.4186  3 Tb 3.14-3.42, 2 Er 3.39
Er  0.4863  0.9571  0.7043  2 Er 3.26-3.39, 5 Tb 3.28-3.56, 1 Sm 3.52
Tb  0.5731  0.2609  0.3792  3 Er 3.32-3.53, 4 Tb 3.47-3.69
Tb  0.2902  0.6987  0.3013  1 Er 3.14, 1 Sm 3.26, 2 Tb 3.42
Tb  0.3121  0.9847  0.0153  4 Tb 3.25-3.62, 1 Sm 3.30, 4 Er 3.52-3.56
Tb  0.8121  0.0153  0.9847  4 Tb 3.25-3.62, 1 Sm 3.30, 4 Er 3.52-3.56
Tb  0.8287  0.5432  0.1055  3 Er 3.28-3.65, 3 Tb 3.38-3.58, 2 Sm 3.54-3.65
Tb  0.3287  0.1055  0.5432  3 Er 3.28-3.65, 3 Tb 3.38-3.58, 2 Sm 3.54-3.65
Tb  0.7902  0.3013  0.6987  1 Er 3.14, 1 Sm 3.26, 2 Tb 3.42
Tb  0.5731  0.6208  0.7391  3 Er 3.32-3.53, 4 Tb 3.47-3.69
Tb  0.3287  0.4568  0.8945  3 Er 3.28-3.65, 3 Tb 3.38-3.58, 2 Sm 3.54-3.65
Tb  0.0731  0.3792  0.2609  3 Er 3.32-3.53, 4 Tb 3.47-3.69
Tb  0.0731  0.7391  0.6208  3 Er 3.32-3.53, 4 Tb 3.47-3.69
Tb  0.8287  0.8945  0.4568  3 Er 3.28-3.65, 3 Tb 3.38-3.58, 2 Sm 3.54-3.65
Sm  0.0102  0.1610  0.8390  4 Tb 3.26-3.54, 2 Er 3.52
Sm  0.5102  0.8390  0.1610  4 Tb 3.26-3.54, 2 Er 3.52

Values from the calculation:
As for the space group: Cmc2_1 (36). The theoretical density is 8.3 g/cm3. For the density of states at the Fermi level, the calculation gives 29.9 states/eV/cell.

***

Stability, highest: #x

***

#w
Material: Tb4SmEr7
Method: DFT, PBE
State: optimized geometry

Unit cell a=5.8253 b=11.4972 c=6.6801 alpha=83.28 beta=64.15 gamma=75.33
Last column: nearest neighbours and their distance in Å.
Atoms (fractional coordinates):
Tb  0.6346  0.2247  0.5061  7 Er 3.35-3.58, 2 Tb 3.62
Tb  0.2433  0.3201  0.1933  4 Er 3.24-3.54, 2 Tb 3.62
Tb  0.7567  0.6799  0.8067  4 Er 3.24-3.54, 2 Tb 3.62
Tb  0.3654  0.7753  0.4939  7 Er 3.35-3.58, 2 Tb 3.62
Er  0.0616  0.6756  0.2013  4 Er 3.26-3.52, 3 Tb 3.58-3.64
Er  0.6341  0.4991  0.2327  4 Er 3.21-3.52, 5 Tb 3.24-3.54
Er  0.3659  0.5009  0.7673  4 Er 3.21-3.52, 5 Tb 3.24-3.54
Er  0.2113  0.0768  0.5006  1 Sm 3.12, 4 Er 3.13-3.38, 4 Tb 3.26-3.35
Er  0.9384  0.3244  0.7987  4 Er 3.26-3.52, 3 Tb 3.58-3.64
Er  0.5000  0.0000  0.0000  2 Sm 2.91, 2 Er 3.13
Er  0.7887  0.9232  0.4994  1 Sm 3.12, 4 Er 3.13-3.38, 4 Tb 3.26-3.35
Sm  0.0000  0.0000  0.0000  4 Er 2.91-3.12

Values from the calculation:
As for the space group: C2/m (12). The theoretical density is 8.3 g/cm3. For the density of states at the Fermi level, the calculation gives 20.7 states/eV/cell.

***

#x
Material: Tb4SmEr7
Method: DFT, PBE
State: optimized geometry

Unit cell a=6.7675 b=6.4847 c=11.6890 alpha=74.88 beta=49.95 gamma=81.52
Last column: nearest neighbours and their distance in Å.
Atoms (fractional coordinates):
Tb  0.5209  0.6382  0.2867  8 Er 3.28-3.67, 1 Sm 3.38, 2 Tb 3.47-3.51
Tb  0.6957  0.8364  0.6892  7 Er 3.39-3.65, 2 Tb 3.47-3.51
Tb  0.4791  0.3618  0.7133  8 Er 3.28-3.67, 1 Sm 3.38, 2 Tb 3.47-3.51
Tb  0.3043  0.1636  0.3108  7 Er 3.39-3.65, 2 Tb 3.47-3.51
Er  0.0587  0.3179  0.6417  5 Er 3.36-3.68, 4 Tb 3.43-3.51
Er  0.7191  0.1890  0.3875  5 Er 3.23-3.58, 5 Tb 3.28-3.59
Er  0.5000  0.0000  0.0000  2 Sm 3.38, 4 Tb 3.39-3.63, 4 Er 3.44-3.68
Er  0.2809  0.8110  0.6125  5 Er 3.23-3.58, 5 Tb 3.28-3.59
Er  0.8002  0.5162  0.9493  5 Er 3.34-3.55, 4 Tb 3.37-3.67, 1 Sm 3.47
Er  0.9413  0.6821  0.3583  5 Er 3.36-3.68, 4 Tb 3.43-3.51
Er  0.1998  0.4838  0.0507  5 Er 3.34-3.55, 4 Tb 3.37-3.67, 1 Sm 3.47
Sm  0.0000  0.0000  0.0000  2 Tb 3.38, 4 Er 3.38-3.47

Values from the calculation:
As for the space group: P-1 (2). The theoretical density is 8.6 g/cm3. For the density of states at the Fermi level, the calculation gives 20.1 states/eV/cell.

***

Stability, highest: #x

***

#w
Material: Tb2Sm3Er2
Method: DFT, PBE
State: optimized geometry

Unit cell a=3.5094 b=8.5352 c=8.9202 alpha=118.37 beta=101.34 gamma=90.00
Last column: nearest neighbours and their distance in Å.
Atoms (fractional coordinates):
Er  0.1462  0.3264  0.2924  4 Er 3.51-3.82, 4 Sm 3.52-3.62, 4 Tb 3.58-3.68
Er  0.8538  0.6736  0.7076  4 Er 3.51-3.82, 4 Sm 3.52-3.62, 4 Tb 3.58-3.68
Sm  0.7876  0.2011  0.5752  5 Sm 3.34-3.51, 3 Tb 3.46-3.61, 3 Er 3.59-3.62
Sm  0.2124  0.7989  0.4248  5 Sm 3.34-3.51, 3 Tb 3.46-3.61, 3 Er 3.59-3.62
Sm  0.0000  0.5000  0.0000  4 Sm 3.34-3.51, 2 Er 3.52, 4 Tb 3.58
Tb  0.4351  0.0894  0.8701  3 Tb 3.29-3.51, 5 Sm 3.46-3.61, 4 Er 3.58-3.68
Tb  0.5649  0.9106  0.1299  3 Tb 3.29-3.51, 5 Sm 3.46-3.61, 4 Er 3.58-3.68

Values from the calculation:
As for the space group: C2/m (12). The theoretical density is 8.0 g/cm3. For the density of states at the Fermi level, the calculation gives 10.8 states/eV/cell.

***

#x
Material: Tb2Sm3Er2
Method: DFT, PBE
State: optimized geometry

Unit cell a=3.5741 b=10.7168 c=6.1846 alpha=95.62 beta=73.32 gamma=89.94
Last column: nearest neighbours and their distance in Å.
Atoms (fractional coordinates):
Sm  0.0000  0.0000  0.0000  6 Tb 3.56-3.58, 4 Er 3.57, 2 Sm 3.57
Sm  0.8574  0.5713  0.2846  5 Sm 3.56-3.59, 5 Er 3.57-3.58, 2 Tb 3.58
Sm  0.1426  0.4287  0.7154  5 Sm 3.56-3.59, 5 Er 3.57-3.58, 2 Tb 3.58
Er  0.5719  0.7149  0.8563  3 Tb 3.56-3.58, 7 Sm 3.57-3.58, 2 Er 3.57
Er  0.4281  0.2851  0.1437  3 Tb 3.56-3.58, 7 Sm 3.57-3.58, 2 Er 3.57
Tb  0.2852  0.8577  0.4303  4 Tb 3.56-3.57, 5 Sm 3.56-3.58, 3 Er 3.56-3.58
Tb  0.7148  0.1423  0.5697  4 Tb 3.56-3.57, 5 Sm 3.56-3.58, 3 Er 3.56-3.58

Values from the calculation:
As for the space group: P-1 (2). The theoretical density is 8.1 g/cm3. For the density of states at the Fermi level, the calculation gives 9.0 states/eV/cell.

***

Stability, highest: #x